# Li3HfSe PBEsol relaxed
# raw formation energy	192.1	meV/atom
# space group	Pm-3m
data_Li3HfSe
_chemical_formula_sum 'Li3 Hf1 Se1'
_space_group_name_H-M_alt 'P 1'
_space_group_IT_number 1
_cell_length_a 4.584
_cell_length_b 4.584
_cell_length_c 4.584
_cell_angle_alpha 90.00
_cell_angle_beta 90.00
_cell_angle_gamma 90.00
loop_
_space_group_symop_operation_xyz
'x,y,z'
loop_
_atom_site_label
_atom_site_type_symbol
_atom_site_fract_x
_atom_site_fract_y
_atom_site_fract_z
_atom_site_occupancy
Hf1 Hf 0.500 0.500 0.500 1
Se1 Se 0.000 0.000 0.000 1
Li1 Li 0.000 0.500 0.000 1
Li2 Li 0.000 0.000 0.500 1
Li3 Li 0.500 0.000 0.000 1


# TiCrSb2I PBEsol relaxed
# raw formation energy	702.5	meV/atom
# space group	P4/mmm
data_TiCrSb2I
_chemical_formula_sum 'Ti1 Cr1 Sb2 I1'
_space_group_name_H-M_alt 'P 1'
_space_group_IT_number 1
_cell_length_a 4.961
_cell_length_b 4.961
_cell_length_c 5.463
_cell_angle_alpha 90.00
_cell_angle_beta 90.00
_cell_angle_gamma 90.00
loop_
_space_group_symop_operation_xyz
'x,y,z'
loop_
_atom_site_label
_atom_site_type_symbol
_atom_site_fract_x
_atom_site_fract_y
_atom_site_fract_z
_atom_site_occupancy
I1 I 0.000 0.000 0.500 1
Sb1 Sb 0.000 0.500 0.000 1
Sb2 Sb 0.500 0.000 0.000 1
Ti1 Ti 0.500 0.500 0.500 1
Cr1 Cr 0.000 0.000 0.000 1


# Y2BiSbRh PBEsol relaxed
# raw formation energy	253.7	meV/atom
# space group	P4/mmm
data_Y2BiSbRh
_chemical_formula_sum 'Y2 Bi1 Sb1 Rh1'
_space_group_name_H-M_alt 'P 1'
_space_group_IT_number 1
_cell_length_a 4.867
_cell_length_b 5.676
_cell_length_c 5.676
_cell_angle_alpha 90.00
_cell_angle_beta 90.00
_cell_angle_gamma 90.00
loop_
_space_group_symop_operation_xyz
'x,y,z'
loop_
_atom_site_label
_atom_site_type_symbol
_atom_site_fract_x
_atom_site_fract_y
_atom_site_fract_z
_atom_site_occupancy
Y1 Y 0.000 0.000 0.500 1
Y2 Y 0.000 0.500 0.000 1
Sb1 Sb 0.500 0.500 0.500 1
Rh1 Rh 0.500 0.000 0.000 1
Bi1 Bi 0.000 0.000 0.000 1


# Na3Cu2Mo3O12 PBEsol relaxed
# raw formation energy	-1742.8	meV/atom
# space group	C2/c
data_Na3Cu2Mo3O12
_chemical_formula_sum 'Na6 Cu4 Mo6 O24'
_space_group_name_H-M_alt 'P 1'
_space_group_IT_number 1
_cell_length_a 6.926
_cell_length_b 9.136
_cell_length_c 9.136
_cell_angle_alpha 97.60
_cell_angle_beta 103.91
_cell_angle_gamma 103.91
loop_
_space_group_symop_operation_xyz
'x,y,z'
loop_
_atom_site_label
_atom_site_type_symbol
_atom_site_fract_x
_atom_site_fract_y
_atom_site_fract_z
_atom_site_occupancy
Na1 Na 0.750 0.771 0.229 1
Na2 Na 0.250 0.229 0.771 1
Na3 Na 0.000 0.000 0.000 1
Na4 Na 0.500 0.000 0.000 1
Na5 Na 0.750 0.470 0.530 1
Na6 Na 0.250 0.530 0.470 1
Cu1 Cu 0.616 0.869 0.550 1
Cu2 Cu 0.384 0.131 0.450 1
Cu3 Cu 0.884 0.450 0.131 1
Cu4 Cu 0.116 0.550 0.869 1
Mo1 Mo 0.750 0.219 0.781 1
Mo2 Mo 0.250 0.781 0.219 1
Mo3 Mo 0.885 0.165 0.380 1
Mo4 Mo 0.115 0.835 0.620 1
Mo5 Mo 0.615 0.620 0.835 1
Mo6 Mo 0.385 0.380 0.165 1
O1 O 0.674 0.119 0.462 1
O2 O 0.326 0.881 0.538 1
O3 O 0.826 0.538 0.881 1
O4 O 0.174 0.462 0.119 1
O5 O 0.877 0.850 0.504 1
O6 O 0.123 0.150 0.496 1
O7 O 0.623 0.496 0.150 1
O8 O 0.377 0.504 0.850 1
O9 O 0.815 0.041 0.200 1
O10 O 0.185 0.959 0.800 1
O11 O 0.685 0.800 0.959 1
O12 O 0.315 0.200 0.041 1
O13 O 0.748 0.023 0.747 1
O14 O 0.252 0.977 0.253 1
O15 O 0.752 0.253 0.977 1
O16 O 0.248 0.747 0.023 1
O17 O 0.524 0.254 0.666 1
O18 O 0.476 0.746 0.334 1
O19 O 0.976 0.334 0.746 1
O20 O 0.024 0.666 0.254 1
O21 O 0.580 0.647 0.643 1
O22 O 0.420 0.353 0.357 1
O23 O 0.920 0.357 0.353 1
O24 O 0.080 0.643 0.647 1


# AgBrF2 PBEsol relaxed
# offset from the most stable computed form	0	meV/atom
# raw formation energy	-698.7	meV/atom
# space group	R-3m
data_AgBrF2
_chemical_formula_sum 'Ag1 Br1 F2'
_space_group_name_H-M_alt 'P 1'
_space_group_IT_number 1
_cell_length_a 3.876
_cell_length_b 3.876
_cell_length_c 6.388
_cell_angle_alpha 72.34
_cell_angle_beta 72.34
_cell_angle_gamma 60.00
loop_
_space_group_symop_operation_xyz
'x,y,z'
loop_
_atom_site_label
_atom_site_type_symbol
_atom_site_fract_x
_atom_site_fract_y
_atom_site_fract_z
_atom_site_occupancy
Ag1 Ag 0.500 0.500 0.500 1
Br1 Br 0.000 0.000 0.000 1
F1 F 0.888 0.888 0.335 1
F2 F 0.112 0.112 0.665 1


# Ca3Al2Ge3 PBEsol relaxed
# formation energy	-0.573	eV per atom
# space group	Pnma
data_Ca3Al2Ge3
_chemical_formula_sum 'Ca12 Al8 Ge12'
_space_group_name_H-M_alt 'P 1'
_space_group_IT_number 1
_cell_length_a 4.332
_cell_length_b 11.247
_cell_length_c 14.564
_cell_angle_alpha 90.00
_cell_angle_beta 90.00
_cell_angle_gamma 90.00
loop_
_space_group_symop_operation_xyz
'x,y,z'
loop_
_atom_site_label
_atom_site_type_symbol
_atom_site_fract_x
_atom_site_fract_y
_atom_site_fract_z
_atom_site_occupancy
Ca1 Ca 0.750 0.605 0.932 1
Ca2 Ca 0.250 0.395 0.068 1
Ca3 Ca 0.750 0.105 0.568 1
Ca4 Ca 0.250 0.895 0.432 1
Ca5 Ca 0.750 0.895 0.062 1
Ca6 Ca 0.250 0.105 0.938 1
Ca7 Ca 0.750 0.395 0.438 1
Ca8 Ca 0.250 0.605 0.562 1
Ca9 Ca 0.250 0.122 0.204 1
Ca10 Ca 0.750 0.878 0.796 1
Ca11 Ca 0.250 0.622 0.296 1
Ca12 Ca 0.750 0.378 0.704 1
Al1 Al 0.250 0.645 0.789 1
Al2 Al 0.750 0.355 0.211 1
Al3 Al 0.250 0.145 0.711 1
Al4 Al 0.750 0.855 0.289 1
Al5 Al 0.750 0.817 0.586 1
Al6 Al 0.250 0.183 0.414 1
Al7 Al 0.750 0.317 0.914 1
Al8 Al 0.250 0.683 0.086 1
Ge1 Ge 0.750 0.571 0.138 1
Ge2 Ge 0.250 0.429 0.862 1
Ge3 Ge 0.750 0.071 0.362 1
Ge4 Ge 0.250 0.929 0.638 1
Ge5 Ge 0.750 0.640 0.699 1
Ge6 Ge 0.250 0.360 0.301 1
Ge7 Ge 0.750 0.140 0.801 1
Ge8 Ge 0.250 0.860 0.199 1
Ge9 Ge 0.750 0.198 0.068 1
Ge10 Ge 0.250 0.802 0.932 1
Ge11 Ge 0.750 0.698 0.432 1
Ge12 Ge 0.250 0.302 0.568 1


# TlAg2W PBEsol relaxed
# formation energy	0.719	eV per atom
# offset from the most stable computed form	49	meV/atom
# space group	Pmm2
data_TlAg2W
_chemical_formula_sum 'Tl1 Ag2 W1'
_space_group_name_H-M_alt 'P 1'
_space_group_IT_number 1
_cell_length_a 2.849
_cell_length_b 4.072
_cell_length_c 6.110
_cell_angle_alpha 90.00
_cell_angle_beta 90.00
_cell_angle_gamma 90.00
loop_
_space_group_symop_operation_xyz
'x,y,z'
loop_
_atom_site_label
_atom_site_type_symbol
_atom_site_fract_x
_atom_site_fract_y
_atom_site_fract_z
_atom_site_occupancy
Ag1 Ag 0.000 0.000 0.999 1
Ag2 Ag 0.500 0.500 0.232 1
Tl1 Tl 0.000 0.000 0.505 1
W1 W 0.500 0.500 0.764 1


# Te2SeBrN PBEsol relaxed
# raw formation energy	900.7	meV/atom
# space group	P4/mmm
data_Te2SeBrN
_chemical_formula_sum 'Te2 Se1 Br1 N1'
_space_group_name_H-M_alt 'P 1'
_space_group_IT_number 1
_cell_length_a 3.566
_cell_length_b 5.823
_cell_length_c 5.823
_cell_angle_alpha 90.00
_cell_angle_beta 90.00
_cell_angle_gamma 90.00
loop_
_space_group_symop_operation_xyz
'x,y,z'
loop_
_atom_site_label
_atom_site_type_symbol
_atom_site_fract_x
_atom_site_fract_y
_atom_site_fract_z
_atom_site_occupancy
Te1 Te 0.000 0.000 0.500 1
Te2 Te 0.000 0.500 0.000 1
Se1 Se 0.000 0.000 0.000 1
Br1 Br 0.500 0.500 0.500 1
N1 N 0.500 0.000 0.000 1


# LaSiSb2 PBEsol relaxed
# raw formation energy	-457.0	meV/atom
# space group	Cm
data_LaSiSb2
_chemical_formula_sum 'La1 Si1 Sb2'
_space_group_name_H-M_alt 'P 1'
_space_group_IT_number 1
_cell_length_a 3.869
_cell_length_b 5.468
_cell_length_c 5.813
_cell_angle_alpha 116.30
_cell_angle_beta 109.44
_cell_angle_gamma 90.00
loop_
_space_group_symop_operation_xyz
'x,y,z'
loop_
_atom_site_label
_atom_site_type_symbol
_atom_site_fract_x
_atom_site_fract_y
_atom_site_fract_z
_atom_site_occupancy
La1 La 0.224 0.756 0.448 1
Sb1 Sb 0.018 0.060 0.035 1
Sb2 Sb 0.777 0.299 0.555 1
Si1 Si 0.481 0.384 0.962 1


# SiTeN2Cl PBEsol relaxed
# raw formation energy	615.9	meV/atom
# space group	P4/mmm
data_SiTeN2Cl
_chemical_formula_sum 'Si1 Te1 N2 Cl1'
_space_group_name_H-M_alt 'P 1'
_space_group_IT_number 1
_cell_length_a 3.632
_cell_length_b 3.632
_cell_length_c 5.680
_cell_angle_alpha 90.00
_cell_angle_beta 90.00
_cell_angle_gamma 90.00
loop_
_space_group_symop_operation_xyz
'x,y,z'
loop_
_atom_site_label
_atom_site_type_symbol
_atom_site_fract_x
_atom_site_fract_y
_atom_site_fract_z
_atom_site_occupancy
N1 N 0.000 0.500 0.000 1
N2 N 0.500 0.000 0.000 1
Si1 Si 0.000 0.000 0.000 1
Te1 Te 0.000 0.000 0.500 1
Cl1 Cl 0.500 0.500 0.500 1


# LiCa2Y PBEsol relaxed
# formation energy	0.099	eV per atom
# offset from the most stable computed form	0	meV/atom
# space group	P4/mmm
data_LiCa2Y
_chemical_formula_sum 'Li1 Ca2 Y1'
_space_group_name_H-M_alt 'P 1'
_space_group_IT_number 1
_cell_length_a 4.036
_cell_length_b 4.036
_cell_length_c 7.979
_cell_angle_alpha 90.00
_cell_angle_beta 90.00
_cell_angle_gamma 90.00
loop_
_space_group_symop_operation_xyz
'x,y,z'
loop_
_atom_site_label
_atom_site_type_symbol
_atom_site_fract_x
_atom_site_fract_y
_atom_site_fract_z
_atom_site_occupancy
Y1 Y 0.500 0.500 0.500 1
Ca1 Ca 0.000 0.000 0.764 1
Ca2 Ca 0.000 0.000 0.236 1
Li1 Li 0.500 0.500 0.000 1


# Rb2NaEuCl6 PBEsol relaxed
# raw formation energy	-1910.3	meV/atom
# space group	Fm-3m
data_Rb2NaEuCl6
_chemical_formula_sum 'Rb2 Na1 Eu1 Cl6'
_space_group_name_H-M_alt 'P 1'
_space_group_IT_number 1
_cell_length_a 7.545
_cell_length_b 7.545
_cell_length_c 7.545
_cell_angle_alpha 60.00
_cell_angle_beta 60.00
_cell_angle_gamma 60.00
loop_
_space_group_symop_operation_xyz
'x,y,z'
loop_
_atom_site_label
_atom_site_type_symbol
_atom_site_fract_x
_atom_site_fract_y
_atom_site_fract_z
_atom_site_occupancy
Eu1 Eu 0.000 0.000 0.000 1
Na1 Na 0.500 0.500 0.500 1
Rb1 Rb 0.250 0.250 0.250 1
Rb2 Rb 0.750 0.750 0.750 1
Cl1 Cl 0.751 0.249 0.249 1
Cl2 Cl 0.249 0.751 0.249 1
Cl3 Cl 0.249 0.751 0.751 1
Cl4 Cl 0.751 0.249 0.751 1
Cl5 Cl 0.249 0.249 0.751 1
Cl6 Cl 0.751 0.751 0.249 1


no.,DOS(E_F) (states/eV/cell)
1,4.258
2,6.398
3,5.922
4,6.444
5,0.294
6,2.481
7,3.289
8,4.217
9,2.373
10,2.134
11,2.617
12,11.906